No. 1
# Te2IrRh PBEsol optimized geometry
data_Te2IrRh
_space_group_name_H-M_alt 'P 1'
_space_group_IT_number 1
_space_group_name_Hall 'P 1'
_cell_length_a 6.584
_cell_length_b 6.584
_cell_length_c 6.584
_cell_angle_alpha 33.81
_cell_angle_beta 33.81
_cell_angle_gamma 33.81
loop_
_atom_site_label
_atom_site_type_symbol
_atom_site_fract_x
_atom_site_fract_y
_atom_site_fract_z
Te1 Te 0.249 0.249 0.249
Te2 Te 0.751 0.751 0.751
Ir1 Ir 0.500 0.500 0.500
Rh1 Rh 0.000 0.000 0.000
# magnetization = 0.0 μB per formula unit
# space-group type = R-3m (166)
# Fermi-level density of states = 3.18 states/eV per cell
# mass density = 11603 kg/m³
# energy relative to the lowest polymorph listed for this composition = 0.000 eV per atom
# formation energy without anion corrections = 122 meV per atom


No. 2
# ScRuPt2 PBEsol optimized geometry
data_ScRuPt2
_space_group_name_H-M_alt 'P 1'
_space_group_IT_number 1
_space_group_name_Hall 'P 1'
_cell_length_a 9.151
_cell_length_b 9.151
_cell_length_c 9.151
_cell_angle_alpha 17.63
_cell_angle_beta 17.63
_cell_angle_gamma 17.63
loop_
_atom_site_label
_atom_site_type_symbol
_atom_site_fract_x
_atom_site_fract_y
_atom_site_fract_z
Sc1 Sc 0.000 0.000 0.000
Ru1 Ru 0.500 0.500 0.500
Pt1 Pt 0.248 0.248 0.248
Pt2 Pt 0.752 0.752 0.752
# magnetization = 0.0 μB per formula unit
# space-group type = R-3m (166)
# formation energy from the elements = -0.1794 eV/atom
# Fermi-level density of states = 4.09 states/eV per cell
# mass density = 14510 kg/m³


No. 3
# AsPb2Se PBEsol optimized geometry
data_AsPb2Se
_space_group_name_H-M_alt 'P 1'
_space_group_IT_number 1
_space_group_name_Hall 'P 1'
_cell_length_a 4.213
_cell_length_b 6.048
_cell_length_c 4.214
_cell_angle_alpha 90.00
_cell_angle_beta 90.00
_cell_angle_gamma 90.00
loop_
_atom_site_label
_atom_site_type_symbol
_atom_site_fract_x
_atom_site_fract_y
_atom_site_fract_z
As1 As 0.000 0.000 0.000
Pb1 Pb 0.000 0.500 0.002
Pb2 Pb 0.500 0.000 0.500
Se1 Se 0.500 0.500 0.502
# magnetization = 0.0 μB per formula unit
# space-group type = Pmm2 (25)
# Fermi-level density of states = 2.15 states/eV per cell
# mass density = 8790 kg/m³
# formation energy without anion corrections = -199 meV per atom


No. 4
# CsZn2GePb PBEsol optimized geometry
data_CsZn2GePb
_space_group_name_H-M_alt 'P 1'
_space_group_IT_number 1
_space_group_name_Hall 'P 1'
_cell_length_a 5.568
_cell_length_b 5.568
_cell_length_c 5.615
_cell_angle_alpha 90.00
_cell_angle_beta 90.00
_cell_angle_gamma 90.00
loop_
_atom_site_label
_atom_site_type_symbol
_atom_site_fract_x
_atom_site_fract_y
_atom_site_fract_z
Cs1 Cs 0.000 0.000 0.000
Zn1 Zn 0.000 0.500 0.500
Zn2 Zn 0.500 0.000 0.500
Ge1 Ge 0.500 0.500 0.000
Pb1 Pb 0.500 0.500 0.500
# magnetization = 0.0 μB per formula unit
# space-group type = P4/mmm (123)
# formation energy from the elements = 0.4897 eV/atom
# Fermi-level density of states = 3.99 states/eV per cell
# mass density = 5185 kg/m³


No. 5
# Al2SbAu2 PBEsol optimized geometry
data_Al2SbAu2
_space_group_name_H-M_alt 'P 1'
_space_group_IT_number 1
_space_group_name_Hall 'P 1'
_cell_length_a 7.866
_cell_length_b 7.866
_cell_length_c 2.997
_cell_angle_alpha 90.00
_cell_angle_beta 90.00
_cell_angle_gamma 90.00
loop_
_atom_site_label
_atom_site_type_symbol
_atom_site_fract_x
_atom_site_fract_y
_atom_site_fract_z
Al1 Al 0.166 0.334 0.000
Al2 Al 0.334 0.834 0.000
Al3 Al 0.666 0.166 0.000
Al4 Al 0.834 0.666 0.000
Sb1 Sb 0.000 0.000 0.000
Sb2 Sb 0.500 0.500 0.000
Au1 Au 0.129 0.629 0.500
Au2 Au 0.371 0.129 0.500
Au3 Au 0.629 0.871 0.500
Au4 Au 0.871 0.371 0.500
# magnetization = 0.0 μB per formula unit
# space-group type = P4/mbm (127)
# Fermi-level density of states = 4.14 states/eV per cell
# mass density = 10202 kg/m³
# energy relative to the lowest polymorph listed for this composition = 0.144 eV per atom
# formation energy without anion corrections = -91 meV per atom


No. 6
# Ba3Au2 PBEsol optimized geometry
data_Ba3Au2
_space_group_name_H-M_alt 'P 1'
_space_group_IT_number 1
_space_group_name_Hall 'P 1'
_cell_length_a 11.526
_cell_length_b 11.526
_cell_length_c 11.526
_cell_angle_alpha 23.28
_cell_angle_beta 23.28
_cell_angle_gamma 23.28
loop_
_atom_site_label
_atom_site_type_symbol
_atom_site_fract_x
_atom_site_fract_y
_atom_site_fract_z
Ba1 Ba 0.000 0.000 0.000
Ba2 Ba 0.224 0.224 0.224
Ba3 Ba 0.776 0.776 0.776
Au1 Au 0.391 0.391 0.391
Au2 Au 0.609 0.609 0.609
# magnetization = 0.0 μB per formula unit
# space-group type = R-3m (166)
# formation energy from the elements = -0.5002 eV/atom
# Fermi-level density of states = 2.92 states/eV per cell
# mass density = 6375 kg/m³
# energy relative to the lowest polymorph listed for this composition = 0.050 eV per atom


No. 7
# TiCSe2N PBEsol optimized geometry
data_TiCSe2N
_space_group_name_H-M_alt 'P 1'
_space_group_IT_number 1
_space_group_name_Hall 'P 1'
_cell_length_a 4.928
_cell_length_b 4.928
_cell_length_c 3.685
_cell_angle_alpha 90.00
_cell_angle_beta 90.00
_cell_angle_gamma 90.00
loop_
_atom_site_label
_atom_site_type_symbol
_atom_site_fract_x
_atom_site_fract_y
_atom_site_fract_z
Ti1 Ti 0.000 0.000 0.000
C1 C 0.500 0.500 0.500
Se1 Se 0.000 0.500 0.000
Se2 Se 0.500 0.000 0.000
N1 N 0.000 0.000 0.500
# magnetization = 0.2 μB per formula unit
# space-group type = P4/mmm (123)
# Fermi-level density of states = 4.29 states/eV per cell
# mass density = 4302 kg/m³
# formation energy without anion corrections = 1283 meV per atom


No. 8
# MnTeOs3 PBEsol optimized geometry
data_MnTeOs3
_space_group_name_H-M_alt 'P 1'
_space_group_IT_number 1
_space_group_name_Hall 'P 1'
_cell_length_a 4.737
_cell_length_b 4.737
_cell_length_c 4.737
_cell_angle_alpha 90.00
_cell_angle_beta 90.00
_cell_angle_gamma 90.00
loop_
_atom_site_label
_atom_site_type_symbol
_atom_site_fract_x
_atom_site_fract_y
_atom_site_fract_z
Mn1 Mn 0.000 0.000 0.000
Te1 Te 0.500 0.500 0.500
Os1 Os 0.000 0.500 0.500
Os2 Os 0.500 0.000 0.500
Os3 Os 0.500 0.500 0.000
# magnetization = 4.2 μB per formula unit
# space-group type = Pm-3m (221)
# Fermi-level density of states = 6.71 states/eV per cell
# mass density = 11770 kg/m³
# formation energy without anion corrections = 2582 meV per atom


No. 9
# LaHfCr3 PBEsol optimized geometry
data_LaHfCr3
_space_group_name_H-M_alt 'P 1'
_space_group_IT_number 1
_space_group_name_Hall 'P 1'
_cell_length_a 4.799
_cell_length_b 4.799
_cell_length_c 4.799
_cell_angle_alpha 90.00
_cell_angle_beta 90.00
_cell_angle_gamma 90.00
loop_
_atom_site_label
_atom_site_type_symbol
_atom_site_fract_x
_atom_site_fract_y
_atom_site_fract_z
La1 La 0.000 0.000 0.000
Hf1 Hf 0.500 0.500 0.500
Cr1 Cr 0.000 0.500 0.500
Cr2 Cr 0.500 0.000 0.500
Cr3 Cr 0.500 0.500 0.000
# magnetization = 8.7 μB per formula unit
# space-group type = Pm-3m (221)
# formation energy from the elements = 1.2723 eV/atom
# Fermi-level density of states = 5.47 states/eV per cell
# mass density = 7112 kg/m³


No. 10
# InP PBEsol optimized geometry
data_InP
_space_group_name_H-M_alt 'P 1'
_space_group_IT_number 1
_space_group_name_Hall 'P 1'
_cell_length_a 4.150
_cell_length_b 4.150
_cell_length_c 4.150
_cell_angle_alpha 60.00
_cell_angle_beta 60.00
_cell_angle_gamma 60.00
loop_
_atom_site_label
_atom_site_type_symbol
_atom_site_fract_x
_atom_site_fract_y
_atom_site_fract_z
In1 In 0.000 0.000 0.000
P1 P 0.750 0.750 0.750
# magnetization = 0.0 μB per formula unit
# space-group type = F-43m (216)
# formation energy from the elements = -0.1910 eV/atom
# mass density = 4791 kg/m³